Density functional theory data (PBE with a Hubbard U) for a geometry-optimized Tl2Co2TeO6 structure.

Cell and atoms, written as CIF:
```
data_Tl2Co2TeO6
_symmetry_space_group_name_H-M 'C 1 2/m 1'
_symmetry_Int_Tables_number 12
_symmetry_space_group_name_Hall '-C 2y'
_cell_length_a 5.2680
_cell_length_b 9.1218
_cell_length_c 6.8654
_cell_angle_alpha 90.00
_cell_angle_beta 90.08
_cell_angle_gamma 90.00
loop_
_atom_site_label
_atom_site_type_symbol
_atom_site_fract_x
_atom_site_fract_y
_atom_site_fract_z
_atom_site_occupancy
Tl1 Tl 0.0000 0.1667 0.0000 1
Co1 Co 0.0000 0.1667 0.5000 1
Te1 Te 0.0000 0.5000 0.5000 1
O1 O 0.1434 0.0000 0.3529 1
O2 O 0.1780 0.3218 0.3528 1
```

density = 7.6 g/cm³
crystal system = monoclinic
total energy = -5.112 eV/atom